# 1
Re2AgIr after structural relaxation. Source: Alexandria via LeMat-Bulk, functional PBE-GGA.

Unit cell a=3.8258 b=3.8258 c=8.3351 alpha=90.00 beta=90.00 gamma=90.00
Space group I4/mmm (No. 139)
One atom of each set of equivalent atoms:
Re 0.0000 0.5000 0.2500 x4
Ag 0.0000 0.0000 0.0000 x2
Ir 0.0000 0.0000 0.5000 x2

Results
ΔE_f: 503.9 meV per atom
E above lowest polymorph: 0.321 eV/atom
Mass density: 18.31 g/cm³

# 2
Ho4Zn3Ni after structural relaxation. Source: Alexandria via LeMat-Bulk, functional PBE-GGA.

Unit cell a=3.6690 b=4.4930 c=10.7927 alpha=90.00 beta=90.00 gamma=90.00
Space group Pmm2 (No. 25)
One atom of each set of equivalent atoms:
Ho 0.0000 0.0000 0.0000 x1
Ho 0.0000 0.5000 0.2711 x1
Ho 0.5000 0.0000 0.4671 x1
Ho 0.5000 0.5000 0.7835 x1
Zn 0.0000 0.0000 0.7009 x1
Zn 0.0000 0.5000 0.5563 x1
Zn 0.5000 0.5000 0.0617 x1
Ni 0.5000 0.0000 0.1991 x1

Results
ΔE_f: -330.0 meV per atom
E above lowest polymorph: 0.039 eV/atom
Mass density: 8.54 g/cm³

# 3
SrCdAu2 after structural relaxation. Source: Alexandria via LeMat-Bulk, functional PBE-GGA.

Unit cell a=4.1429 b=4.5202 c=5.8392 alpha=90.00 beta=110.70 gamma=90.00
Space group Pm (No. 6)
One atom of each set of equivalent atoms:
Sr 0.0000 0.0000 0.0000 x1
Cd 0.2925 0.5000 0.5866 x1
Au 0.5700 0.5000 0.1385 x1
Au 0.7222 0.0000 0.4503 x1

Results
ΔE_f: -500.4 meV per atom
Mass density: 9.64 g/cm³

# 4
AcTb5Pm2 after structural relaxation. Source: Alexandria via LeMat-Bulk, functional PBE-GGA.

Unit cell a=8.6535 b=11.3809 c=12.5118 alpha=95.22 beta=108.40 gamma=106.24
Space group P-1 (No. 2)
One atom of each set of equivalent atoms:
Ac 0.0269 0.4026 0.1803 x2
Ac 0.0987 0.3418 0.6928 x2
Tb 0.0413 0.9728 0.2538 x2
Tb 0.0913 0.7842 0.6208 x2
Tb 0.1497 0.1531 0.0546 x2
Tb 0.1678 0.7244 0.1313 x2
Tb 0.2163 0.5333 0.4963 x2
Tb 0.2778 0.9111 0.9339 x2
Tb 0.2947 0.4697 0.0076 x2
Tb 0.3535 0.8454 0.4444 x2
Tb 0.4074 0.6616 0.8077 x2
Tb 0.4745 0.5947 0.3206 x2
Pm 0.2239 0.0908 0.5674 x2
Pm 0.3438 0.2807 0.3711 x2
Pm 0.4138 0.2189 0.8820 x2
Pm 0.4663 0.0300 0.2446 x2

Results
ΔE_f: 39.9 meV per atom
E above lowest polymorph: 0.008 eV/atom
Mass density: 7.92 g/cm³

# 5
RbZnN2 after structural relaxation. Source: Alexandria via LeMat-Bulk, functional PBE-GGA.

Unit cell a=4.1002 b=4.1002 c=21.9759 alpha=90.00 beta=90.00 gamma=120.00
Space group R-3m (No. 166, hexagonal axes)
One atom of each set of equivalent atoms:
Rb 0.0000 0.0000 0.0000 x3
Zn 0.0000 0.0000 0.5000 x3
N 0.0000 0.0000 0.4169 x6

Results
ΔE_f (raw): 1245 meV per atom
Mass density: 2.79 g/cm³

# 6
PmTaPd after structural relaxation. Source: Alexandria via LeMat-Bulk, functional PBE-GGA.

Unit cell a=4.7527 b=4.7627 c=11.3716 alpha=90.00 beta=90.00 gamma=90.00
Space group Cmmm (No. 65)
One atom of each set of equivalent atoms:
Pm 0.0000 0.0000 0.1730 x4
Ta 0.0000 0.5000 0.3698 x4
Pd 0.0000 0.0000 0.5000 x2
Pd 0.0000 0.5000 0.0000 x2

Results
ΔE_f: -69.6 meV per atom
Mass density: 11.16 g/cm³

# 7
Li2SmYTl4 after structural relaxation. Source: Alexandria via LeMat-Bulk, functional PBE-GGA.

Unit cell a=5.2241 b=5.2241 c=25.5164 alpha=90.00 beta=90.00 gamma=120.00
Space group R-3m (No. 166, hexagonal axes)
One atom of each set of equivalent atoms:
Li 0.0000 0.0000 0.2505 x6
Sm 0.0000 0.0000 0.5000 x3
Y 0.0000 0.0000 0.0000 x3
Tl 0.0000 0.0000 0.1242 x6
Tl 0.0000 0.0000 0.3738 x6

Results
ΔE_f: -327.9 meV per atom
Mass density: 8.84 g/cm³

# 8
Pr4HoIn after structural relaxation. Source: Alexandria via LeMat-Bulk, functional PBE-GGA.

Unit cell a=5.7461 b=21.6358 c=6.5171 alpha=90.00 beta=90.00 gamma=90.00
Space group Cmc2_1 (No. 36)
One atom of each set of equivalent atoms:
Pr 0.0000 0.0444 0.0000 x4
Pr 0.0000 0.1879 0.1487 x4
Pr 0.0000 0.2488 0.6856 x4
Pr 0.0000 0.4379 0.8167 x4
Ho 0.0000 0.3631 0.2952 x4
In 0.0000 0.1040 0.5509 x4

Results
ΔE_f: -30.3 meV per atom
E above lowest polymorph: 0.030 eV/atom
Mass density: 6.91 g/cm³